No. 1
{
  "formula": "MgNpIrO6",
  "functional": "PBE-GGA",
  "state": "optimized geometry",
  "lattice": [[5.2901, 0.0000, 0.0000], [-2.6451, 4.5814, 0.0000], [0.0000, 0.0000, 8.7076]],
  "species": ["Mg", "Mg", "Np", "Np", "Ir", "Ir", "O", "O", "O", "O", "O", "O", "O", "O", "O", "O", "O", "O"],
  "frac_coords": [[0.3333, 0.6667, 0.2500], [0.6667, 0.3333, 0.7500], [0.3333, 0.6667, 0.7500], [0.6667, 0.3333, 0.2500], [0.0000, 0.0000, 0.0000], [0.0000, 0.0000, 0.5000], [0.0057, 0.3264, 0.6267], [0.0057, 0.6793, 0.8733], [0.3207, 0.3264, 0.8733], [0.3207, 0.9943, 0.6267], [0.3264, 0.0057, 0.1267], [0.3264, 0.3207, 0.3733], [0.6736, 0.6793, 0.6267], [0.6736, 0.9943, 0.8733], [0.6793, 0.0057, 0.3733], [0.6793, 0.6736, 0.1267], [0.9943, 0.3207, 0.1267], [0.9943, 0.6736, 0.3733]],
  "energy_ry_per_atom": -0.5780,
  "e_form_raw_mev_per_atom": -1959,
  "dos_ef_per_ev_atom": 0.7167,
  "volume_a3_per_cell": 211.04
}

No. 2
{
  "formula": "Y2Ru",
  "functional": "PBE-GGA",
  "state": "optimized geometry",
  "lattice": [[7.0985, -1.7510, 0.0000], [7.0985, 1.7510, 0.0000], [-2.4965, 0.0000, 6.3148]],
  "species": ["Y", "Y", "Y", "Y", "Ru", "Ru"],
  "frac_coords": [[0.0208, 0.0208, 0.2567], [0.2809, 0.2809, 0.2446], [0.7191, 0.7191, 0.7554], [0.9792, 0.9792, 0.7433], [0.3831, 0.3831, 0.9528], [0.6169, 0.6169, 0.0472]],
  "energy_ry_per_atom": -0.5610,
  "dos_ef_per_ev_atom": 0.8238,
  "volume_a3_per_cell": 156.98,
  "e_form_ev_per_atom": -0.2318
}

No. 3
{
  "formula": "MnCdSb2",
  "functional": "PBE-GGA",
  "state": "optimized geometry",
  "lattice": [[3.1661, 0.0000, 0.0000], [0.0000, 3.1661, 0.0000], [0.0000, 0.0000, 8.8019]],
  "species": ["Mn", "Cd", "Sb", "Sb"],
  "frac_coords": [[0.0000, 0.0000, 0.0000], [0.0000, 0.0000, 0.5000], [0.5000, 0.5000, 0.1799], [0.5000, 0.5000, 0.8201]],
  "energy_ry_per_atom": -0.3228,
  "e_form_raw_mev_per_atom": 190,
  "dos_ef_per_ev_atom": 0.4960,
  "volume_a3_per_cell": 88.23
}

No. 4
{
  "formula": "K2InBiBr6",
  "functional": "PBE-GGA",
  "state": "optimized geometry",
  "lattice": [[8.1138, 0.0000, 0.0000], [4.0546, 7.0337, 0.0000], [4.0539, 2.3432, 7.0588]],
  "species": ["K", "K", "In", "Bi", "Br", "Br", "Br", "Br", "Br", "Br"],
  "frac_coords": [[0.0000, 0.0000, 0.0000], [0.4919, 0.4915, 0.5250], [0.2863, 0.2862, 0.1415], [0.7936, 0.7935, 0.6196], [0.0421, 0.6674, 0.8419], [0.1430, 0.5817, 0.3649], [0.4491, 0.0415, 0.8418], [0.5814, 0.9103, 0.3651], [0.6680, 0.4488, 0.8418], [0.9106, 0.1430, 0.3651]],
  "energy_ry_per_atom": -0.2230,
  "e_form_raw_mev_per_atom": -1149,
  "dos_ef_per_ev_atom": 0.0000,
  "volume_a3_per_cell": 402.85
}

No. 5
{
  "formula": "PrGdHgPt",
  "functional": "PBE-GGA",
  "state": "optimized geometry",
  "lattice": [[0.0000, 3.6891, 3.6891], [3.6891, 0.0000, 3.6891], [3.6891, 3.6891, 0.0000]],
  "species": ["Pr", "Gd", "Hg", "Pt"],
  "frac_coords": [[0.0000, 0.0000, 0.0000], [0.5000, 0.5000, 0.5000], [0.2500, 0.2500, 0.2500], [0.7500, 0.7500, 0.7500]],
  "energy_ry_per_atom": -0.5172,
  "dos_ef_per_ev_atom": 0.9991,
  "volume_a3_per_cell": 100.41,
  "e_form_ev_per_atom": -0.7366
}

No. 6
{
  "formula": "Li4MnSe",
  "functional": "PBE-GGA",
  "state": "optimized geometry",
  "lattice": [[0.0000, 3.7259, 3.7259], [3.7259, 0.0000, 3.7259], [3.7259, 3.7259, 0.0000]],
  "species": ["Li", "Li", "Li", "Li", "Mn", "Se"],
  "frac_coords": [[0.1249, 0.1249, 0.1249], [0.1249, 0.1249, 0.6253], [0.1249, 0.6253, 0.1249], [0.6253, 0.1249, 0.1249], [0.7500, 0.7500, 0.7500], [0.5000, 0.5000, 0.5000]],
  "energy_ry_per_atom": -0.2411,
  "e_form_raw_mev_per_atom": 104,
  "dos_ef_per_ev_atom": 0.6446,
  "volume_a3_per_cell": 103.45
}

No. 7
{
  "formula": "Ba8AgPdAu2",
  "functional": "PBE-GGA",
  "state": "optimized geometry",
  "lattice": [[7.6723, 0.0000, 0.0000], [0.0000, 9.7286, 0.0000], [-0.0197, 0.0000, 7.9358]],
  "species": ["Ba", "Ba", "Ba", "Ba", "Ba", "Ba", "Ba", "Ba", "Ag", "Pd", "Au", "Au"],
  "frac_coords": [[0.2279, 0.0000, 0.3327], [0.2378, 0.5000, 0.3210], [0.2707, 0.2618, 0.8278], [0.2707, 0.7382, 0.8278], [0.7293, 0.2618, 0.1722], [0.7293, 0.7382, 0.1722], [0.7622, 0.5000, 0.6790], [0.7721, 0.0000, 0.6673], [0.5000, 0.0000, 0.0000], [0.5000, 0.5000, 0.0000], [0.0000, 0.2530, 0.5000], [0.0000, 0.7470, 0.5000]],
  "energy_ry_per_atom": -0.2132,
  "dos_ef_per_ev_atom": 0.7582,
  "volume_a3_per_cell": 592.33,
  "e_form_ev_per_atom": -0.4024
}

No. 8
{
  "formula": "MnCuMo2",
  "functional": "PBE-GGA",
  "state": "optimized geometry",
  "lattice": [[-1.6770, 2.0910, 4.0326], [1.6770, -2.0910, 4.0326], [1.6770, 2.0910, -4.0326]],
  "species": ["Mn", "Cu", "Mo", "Mo"],
  "frac_coords": [[0.0000, 0.0000, 0.0000], [0.7494, 0.2494, 0.5000], [0.2406, 0.7406, 0.5000], [0.4865, 0.4865, 0.0000]],
  "energy_ry_per_atom": -0.6216,
  "dos_ef_per_ev_atom": 1.1937,
  "volume_a3_per_cell": 56.56,
  "de_polymorph_mev_per_atom": 87,
  "e_form_ev_per_atom": 0.2750
}

No. 9
{
  "formula": "LiGdScCu",
  "functional": "PBE-GGA",
  "state": "optimized geometry",
  "lattice": [[0.0000, 3.4682, 3.4682], [3.4682, 0.0000, 3.4682], [3.4682, 3.4682, 0.0000]],
  "species": ["Li", "Gd", "Sc", "Cu"],
  "frac_coords": [[0.0000, 0.0000, 0.0000], [0.7500, 0.7500, 0.7500], [0.2500, 0.2500, 0.2500], [0.5000, 0.5000, 0.5000]],
  "energy_ry_per_atom": -0.4865,
  "dos_ef_per_ev_atom": 1.1936,
  "volume_a3_per_cell": 83.43,
  "e_form_ev_per_atom": -0.0129
}

No. 10
{
  "formula": "Li5ZnGa",
  "functional": "PBE-GGA",
  "state": "optimized geometry",
  "lattice": [[4.1014, 0.0000, 0.0000], [0.0000, 4.1014, 0.0000], [0.0000, 0.0000, 7.4014]],
  "species": ["Li", "Li", "Li", "Li", "Li", "Zn", "Ga"],
  "frac_coords": [[0.0000, 0.0000, 0.0000], [0.0000, 0.5000, 0.2646], [0.0000, 0.5000, 0.7354], [0.5000, 0.0000, 0.2646], [0.5000, 0.0000, 0.7354], [0.0000, 0.0000, 0.5000], [0.5000, 0.5000, 0.0000]],
  "energy_ry_per_atom": -0.1513,
  "dos_ef_per_ev_atom": 0.4279,
  "volume_a3_per_cell": 124.50,
  "de_polymorph_mev_per_atom": 34,
  "e_form_ev_per_atom": -0.0776
}

No. 11
{
  "formula": "KH4Pd2",
  "functional": "PBE-GGA",
  "state": "optimized geometry",
  "lattice": [[-3.0294, 3.0294, 4.3090], [3.0294, -3.0294, 4.3090], [3.0294, 3.0294, -4.3090]],
  "species": ["K", "K", "H", "H", "H", "H", "H", "H", "H", "H", "Pd", "Pd", "Pd", "Pd"],
  "frac_coords": [[0.3750, 0.6250, 0.7500], [0.6250, 0.3750, 0.2500], [0.1409, 0.2128, 0.9280], [0.2128, 0.1409, 0.4280], [0.2128, 0.7848, 0.0720], [0.2152, 0.7872, 0.4280], [0.7848, 0.2128, 0.5720], [0.7872, 0.2152, 0.9280], [0.7872, 0.8591, 0.5720], [0.8591, 0.7872, 0.0720], [0.0000, 0.0000, 0.0000], [0.0000, 0.0000, 0.5000], [0.0000, 0.5000, 0.0000], [0.5000, 0.0000, 0.5000]],
  "energy_ry_per_atom": -0.2708,
  "dos_ef_per_ev_atom": 0.1339,
  "volume_a3_per_cell": 158.18
}

No. 12
{
  "formula": "In2TcW",
  "functional": "PBE-GGA",
  "state": "optimized geometry",
  "lattice": [[4.0438, 0.0000, 0.0000], [0.0000, 4.0438, 0.0000], [0.0000, 0.0000, 4.4247]],
  "species": ["In", "In", "Tc", "W"],
  "frac_coords": [[0.0000, 0.5000, 0.0000], [0.5000, 0.0000, 0.0000], [0.0000, 0.0000, 0.5000], [0.5000, 0.5000, 0.5000]],
  "energy_ry_per_atom": -0.4807,
  "dos_ef_per_ev_atom": 0.9603,
  "volume_a3_per_cell": 72.36,
  "de_polymorph_mev_per_atom": 491,
  "e_form_ev_per_atom": 0.6587
}

No. 13
{
  "formula": "Nb3VCu",
  "functional": "PBE-GGA",
  "state": "optimized geometry",
  "lattice": [[4.6123, 0.0000, 0.0000], [0.0000, 4.6123, 0.0000], [0.0000, 0.0000, 4.6123]],
  "species": ["Nb", "Nb", "Nb", "V", "Cu"],
  "frac_coords": [[0.0000, 0.0000, 0.5000], [0.0000, 0.5000, 0.0000], [0.5000, 0.0000, 0.0000], [0.0000, 0.0000, 0.0000], [0.5000, 0.5000, 0.5000]],
  "energy_ry_per_atom": -0.5559,
  "dos_ef_per_ev_atom": 1.2913,
  "volume_a3_per_cell": 98.12,
  "de_polymorph_mev_per_atom": 0,
  "e_form_ev_per_atom": 1.1210
}

No. 14
{
  "formula": "LaMg6C",
  "functional": "PBE-GGA",
  "state": "optimized geometry",
  "lattice": [[3.3146, 0.0000, 0.0000], [0.0000, 3.0913, 9.1482], [0.0000, -3.0913, 9.1482]],
  "species": ["La", "Mg", "Mg", "Mg", "Mg", "Mg", "Mg", "C"],
  "frac_coords": [[0.0000, 0.0000, 0.0000], [0.0000, 0.0629, 0.6216], [0.0000, 0.5863, 0.5863], [0.0000, 0.6216, 0.0629], [0.5000, 0.4348, 0.9540], [0.5000, 0.4487, 0.4487], [0.5000, 0.9540, 0.4348], [0.5000, 0.9002, 0.9002]],
  "energy_ry_per_atom": -0.2025,
  "dos_ef_per_ev_atom": 0.4769,
  "volume_a3_per_cell": 187.47,
  "de_polymorph_mev_per_atom": 0,
  "e_form_ev_per_atom": 0.2099
}

No. 15
{
  "formula": "BaYS2Cl",
  "functional": "PBE-GGA",
  "state": "optimized geometry",
  "lattice": [[5.3132, 0.0000, 0.0000], [0.0000, 5.3132, 0.0000], [0.0000, 0.0000, 5.1958]],
  "species": ["Ba", "Y", "S", "S", "Cl"],
  "frac_coords": [[0.0000, 0.0000, 0.0000], [0.5000, 0.5000, 0.5000], [0.0000, 0.5000, 0.5000], [0.5000, 0.0000, 0.5000], [0.5000, 0.5000, 0.0000]],
  "energy_ry_per_atom": -0.4217,
  "e_form_raw_mev_per_atom": -2040,
  "dos_ef_per_ev_atom": 0.0000,
  "volume_a3_per_cell": 146.68,
  "de_polymorph_mev_per_atom": 0
}

No. 16
{
  "formula": "Nb2GeBiCl",
  "functional": "PBE-GGA",
  "state": "optimized geometry",
  "lattice": [[4.9663, 0.0000, 0.0000], [0.0000, 4.9663, 0.0000], [0.0000, 0.0000, 5.3901]],
  "species": ["Nb", "Nb", "Ge", "Bi", "Cl"],
  "frac_coords": [[0.0000, 0.5000, 0.0000], [0.5000, 0.0000, 0.0000], [0.0000, 0.0000, 0.0000], [0.0000, 0.0000, 0.5000], [0.5000, 0.5000, 0.5000]],
  "energy_ry_per_atom": -0.3695,
  "e_form_raw_mev_per_atom": 1070,
  "dos_ef_per_ev_atom": 1.3634,
  "volume_a3_per_cell": 132.94
}

No. 17
{
  "formula": "ScCdN2F",
  "functional": "PBE-GGA",
  "state": "optimized geometry",
  "lattice": [[4.2206, 0.0000, 0.0000], [0.0000, 4.2206, 0.0000], [0.0000, 0.0000, 4.0260]],
  "species": ["Sc", "Cd", "N", "N", "F"],
  "frac_coords": [[0.0000, 0.0000, 0.0000], [0.5000, 0.5000, 0.5000], [0.0000, 0.5000, 0.0000], [0.5000, 0.0000, 0.0000], [0.0000, 0.0000, 0.5000]],
  "energy_ry_per_atom": -0.4102,
  "e_form_raw_mev_per_atom": -427,
  "dos_ef_per_ev_atom": 0.4689,
  "volume_a3_per_cell": 71.72,
  "de_polymorph_mev_per_atom": 0
}

No. 18
{
  "formula": "MnAl2Cr",
  "functional": "PBE-GGA",
  "state": "optimized geometry",
  "lattice": [[1.3414, 0.7744, 8.4893], [-1.3414, 0.7744, 8.4893], [0.0000, -1.5489, 8.4893]],
  "species": ["Mn", "Al", "Al", "Cr"],
  "frac_coords": [[0.0000, 0.0000, 0.0000], [0.2511, 0.2511, 0.2511], [0.7489, 0.7489, 0.7489], [0.5000, 0.5000, 0.5000]],
  "energy_ry_per_atom": -0.4814,
  "dos_ef_per_ev_atom": 1.0038,
  "volume_a3_per_cell": 52.91,
  "e_form_ev_per_atom": 0.0202
}

No. 19
{
  "formula": "AlHgF5",
  "functional": "PBE-GGA",
  "state": "optimized geometry",
  "lattice": [[-1.8597, 3.3722, 4.0001], [1.8597, -3.3722, 4.0001], [1.8597, 3.3722, -4.0001]],
  "species": ["Al", "Hg", "F", "F", "F", "F", "F"],
  "frac_coords": [[0.0000, 0.0000, 0.0000], [0.5000, 0.5000, 0.0000], [0.0000, 0.5000, 0.5000], [0.2253, 0.2253, 0.0000], [0.2724, 0.0000, 0.2724], [0.7276, 0.0000, 0.7276], [0.7747, 0.7747, 0.0000]],
  "energy_ry_per_atom": -0.3328,
  "e_form_raw_mev_per_atom": -2614,
  "dos_ef_per_ev_atom": 0.0000,
  "volume_a3_per_cell": 100.34
}

No. 20
{
  "formula": "TmPuTe3",
  "functional": "PBE-GGA",
  "state": "optimized geometry",
  "lattice": [[7.7521, 0.0000, 0.0000], [0.0000, 4.6041, 0.0000], [-2.8796, 0.0000, 11.2660]],
  "species": ["Tm", "Tm", "Pu", "Pu", "Te", "Te", "Te", "Te", "Te", "Te"],
  "frac_coords": [[0.0324, 0.2500, 0.1610], [0.9676, 0.7500, 0.8390], [0.4894, 0.2500, 0.6654], [0.5106, 0.7500, 0.3346], [0.2227, 0.7500, 0.0860], [0.2761, 0.7500, 0.7380], [0.2767, 0.2500, 0.4031], [0.7233, 0.7500, 0.5969], [0.7239, 0.2500, 0.2620], [0.7773, 0.2500, 0.9140]],
  "energy_ry_per_atom": -0.4921,
  "e_form_raw_mev_per_atom": -1049,
  "dos_ef_per_ev_atom": 2.5611,
  "volume_a3_per_cell": 402.11
}